The following is a DFT calculation (PBE+U) of crystalline Li5Mn5Cr2O12 at its relaxed geometry.

Properties
D(E_F)	4.0	states/eV/f.u.
electronic total energy	-6.892	eV/atom
SG	C2, No. 5

Lattice parameters (Å, degrees): 5.1873 5.1873 9.9131 86.09 86.09 118.90
Element x y z (fractional)
Li 0.8367 0.6627 0.7583
Li 0.6785 0.8515 0.2418
Li 0.3373 0.1633 0.2417
Li 0.1485 0.3215 0.7582
Li 0.0882 0.9118 0.0000
Mn 0.9155 0.0845 0.5000
Mn 0.0045 0.5112 0.2441
Mn 0.4888 0.9955 0.7559
Mn 0.5775 0.4225 0.5000
Mn 0.4234 0.5766 0.0000
Cr 0.7557 0.2443 0.0000
Cr 0.2461 0.7539 0.5000
O 0.0338 0.2240 0.1282
O 0.7760 0.9662 0.8718
O 0.8947 0.4050 0.6179
O 0.5950 0.1053 0.3821
O 0.7081 0.5275 0.1192
O 0.4725 0.2919 0.8808
O 0.5371 0.7307 0.6213
O 0.2693 0.4629 0.3787
O 0.4026 0.8731 0.1108
O 0.1269 0.5974 0.8892
O 0.2196 0.0363 0.6274
O 0.9637 0.7804 0.3726